(1)
Density functional theory data (PBE) for HfSn3Ge after structural relaxation.

Computed properties:
DOS(E_F) = 6.62 states/eV/cell

Structure (CIF):
```
data_HfSn3Ge
_cell_length_a 5.223
_cell_length_b 5.223
_cell_length_c 5.223
_cell_angle_alpha 90.00
_cell_angle_beta 90.00
_cell_angle_gamma 90.00
_space_group_name_H-M_alt 'P m -3 m'
_space_group_IT_number 221
_space_group_name_Hall '-P 4 2 3'
loop_
_atom_site_label
_atom_site_fract_x
_atom_site_fract_y
_atom_site_fract_z
_atom_site_occupancy
Hf1 0.000 0.000 0.000 1
Sn1 0.000 0.500 0.500 1
Ge1 0.500 0.500 0.500 1
```



(2)
Density functional theory data (PBE) for HfSn3Ge after structural relaxation.

Computed properties:
DOS(E_F) = 4.89 states/eV/cell

Structure (CIF):
```
data_HfSn3Ge
_cell_length_a 5.512
_cell_length_b 5.512
_cell_length_c 5.512
_cell_angle_alpha 90.00
_cell_angle_beta 90.00
_cell_angle_gamma 90.00
_space_group_name_H-M_alt 'P m -3 m'
_space_group_IT_number 221
_space_group_name_Hall '-P 4 2 3'
loop_
_atom_site_label
_atom_site_fract_x
_atom_site_fract_y
_atom_site_fract_z
_atom_site_occupancy
Hf1 0.000 0.000 0.000 1
Sn1 0.000 0.000 0.500 1
Ge1 0.500 0.500 0.500 1
```



Most stable one: (2), least stable one: (1).



(1)
Density functional theory data (PBE) for YHf2SnGe after structural relaxation.

Computed properties:
DOS(E_F) = 5.32 states/eV/cell

Structure (CIF):
```
data_YHf2SnGe
_cell_length_a 4.996
_cell_length_b 4.996
_cell_length_c 5.274
_cell_angle_alpha 90.00
_cell_angle_beta 90.00
_cell_angle_gamma 90.00
_space_group_name_H-M_alt 'P 4/m m m'
_space_group_IT_number 123
_space_group_name_Hall '-P 4 2'
loop_
_atom_site_label
_atom_site_fract_x
_atom_site_fract_y
_atom_site_fract_z
_atom_site_occupancy
Y1 0.000 0.000 0.000 1
Hf1 0.000 0.500 0.500 1
Sn1 0.500 0.500 0.000 1
Ge1 0.000 0.000 0.500 1
```



(2)
Density functional theory data (PBE) for YHf2SnGe after structural relaxation.

Computed properties:
DOS(E_F) = 5.93 states/eV/cell

Structure (CIF):
```
data_YHf2SnGe
_cell_length_a 5.240
_cell_length_b 5.240
_cell_length_c 5.567
_cell_angle_alpha 90.00
_cell_angle_beta 90.00
_cell_angle_gamma 90.00
_space_group_name_H-M_alt 'P 4/m m m'
_space_group_IT_number 123
_space_group_name_Hall '-P 4 2'
loop_
_atom_site_label
_atom_site_fract_x
_atom_site_fract_y
_atom_site_fract_z
_atom_site_occupancy
Y1 0.000 0.000 0.000 1
Hf1 0.000 0.500 0.000 1
Sn1 0.000 0.000 0.500 1
Ge1 0.500 0.500 0.500 1
```



Most stable one: (1), least stable one: (2).